## HgIrPt2 (meta-GGA SCAN)

Data for a crystal of HgIrPt2 relaxed with PBEsol.

Calculated values
- Energy of formation from the pure elements: 338 meV/atom
- Density: 20.21 g/cm³
- M_tot: 0.018 Bohr magnetons per cell

Cell: 2.7608 4.8205 9.6681 Å, 90.00 90.00 90.00°
Space group Immm (No. 71)
Inequivalent atoms, fractional coordinates:
Hg 0.0000 0.0000 0.0000
Ir 0.0000 0.0000 0.5000
Pt 0.0000 0.5000 0.2378


## HgIr2Pt (meta-GGA SCAN)

Data for a crystal of HgIr2Pt relaxed with PBEsol.

Calculated values
- Energy of formation from the pure elements: 511 meV/atom
- Density: 20.83 g/cm³
- M_tot: 0.000 Bohr magnetons per cell

Cell: 3.9733 3.9733 3.9386 Å, 90.00 90.00 90.00°
Space group P4/mmm (No. 123)
Inequivalent atoms, fractional coordinates:
Hg 0.0000 0.0000 0.0000
Ir 0.0000 0.5000 0.5000
Pt 0.5000 0.5000 0.0000